## UMoO4 (PBE+U)

Data for a relaxed UMoO4 crystal.

space group = No. 65
total energy = -53.74 eV per formula unit

a b c (Å): 3.4845 4.9036 4.9036
angles (deg): 89.23 90.00 90.00
Each line ends with the local moment (μB).
Sites, in units of the cell vectors:
O: 0.5000 0.6929 0.3071  -0.02
O: 0.0000 0.8087 0.8087  -0.03
O: 0.5000 0.3071 0.6929  -0.02
O: 0.0000 0.1913 0.1913  -0.03
Mo: 0.0000 0.5000 0.5000  2.71
U: 0.5000 0.0000 0.0000  1.21